# PmTmZnRu

A relaxed structure of PmTmZnRu (PBE, Alexandria via LeMat-Bulk).

Summary:
excess energy over the best structure of this formula in the dataset	0.0	meV/atom
mass density	9.31	g/cm³

a = 6.999 Å, b = 6.999 Å, c = 6.999 Å
α = 90.00°, β = 90.00°, γ = 90.00°
Space group F-43m (No. 216)
Asymmetric unit:
Pm (0.000, 0.000, 0.000) [4 per cell]
Tm (0.000, 0.000, 0.500) [4 per cell]
Zn (0.250, 0.250, 0.750) [4 per cell]
Ru (0.250, 0.250, 0.250) [4 per cell]